## ZnTeMo2 (PBE)

Data for crystalline ZnTeMo2 at its relaxed geometry.

The space group is R-3m (No. 166, hexagonal axes) and the conventional cell measures 3.1025, 3.1025 and 25.2300 Å, with angles of 90.00, 90.00 and 120.00 degrees. The distinct sites, in fractional coordinates, are Zn at (0.0000, 0.0000, 0.0000), Te at (0.0000, 0.0000, 0.5000) and Mo at (0.0000, 0.0000, 0.2500).

Its electronic total energy is -0.44240 Ry/atom. The energy above the most stable polymorph in this dataset comes out at 296.8 meV per atom. The uncorrected formation energy is 0.500 eV per atom.